# 1
Compound: AcSc2RhO8
Source: Alexandria
Functional: PBE-GGA
Structure: relaxed

The structure in POSCAR format:
```
AcSc2RhO8
1.0
-3.286 -1.878 3.053
3.569 -1.677 2.832
-0.058 5.898 3.565
Sc Rh O Ac
2 1 8 1
Cartesian
0.097 2.757 5.683 Sc
0.128 -0.414 3.767 Sc
0.000 0.000 0.000 Rh
-1.945 -0.653 3.735 O
-1.979 2.867 5.863 O
2.170 2.997 5.716 O
0.150 3.378 7.738 O
2.204 -0.523 3.587 O
0.166 0.597 5.676 O
0.059 1.746 3.774 O
0.075 -1.035 1.713 O
-0.029 2.949 1.783 Ac
```

Results
Magnetization: 1.73 μB/f.u.
Uncorrected formation energy: -208.5 kJ per mole of atoms
Theoretical density: 5.59 g/cm3

***

# 2
Compound: Nd8Ga2Te
Source: Alexandria
Functional: PBE-GGA
Structure: relaxed

The structure in POSCAR format:
```
Nd8Ga2Te
1.0
-2.248 4.277 1.038
-6.173 -2.639 -2.498
0.632 -4.725 9.076
Nd Te Ga
8 1 2
Cartesian
-5.525 -1.119 4.408 Nd
-3.072 -0.913 8.874 Nd
-2.265 -1.969 3.208 Nd
-3.702 -3.500 6.402 Nd
-4.717 -2.175 -1.259 Nd
-4.088 0.412 1.213 Nd
-0.370 -1.746 6.394 Nd
-7.420 -1.342 1.222 Nd
-1.124 2.138 0.519 Te
-2.983 -0.143 5.893 Ga
-4.807 -2.945 1.722 Ga
```

Results
Magnetization: 0.00 μB/f.u.
Uncorrected formation energy: -38.1 kJ per mole of atoms
Theoretical density: 6.83 g/cm3

***

# 3
Compound: NbHCl2
Source: Alexandria
Functional: PBE-GGA
Structure: relaxed

The structure in POSCAR format:
```
NbHCl2
1.0
1.850 0.000 7.339
-0.925 1.602 7.339
-0.925 -1.602 7.339
H Cl Nb
1 2 1
Cartesian
0.000 0.000 11.008 H
0.000 0.000 19.689 Cl
0.000 0.000 2.327 Cl
0.000 0.000 0.000 Nb
```

Results
Magnetization: 0.00 μB/f.u.
Theoretical density: 4.19 g/cm3

***

# 4
Compound: Dy2SiSb
Source: Alexandria
Functional: PBE-GGA
Structure: relaxed

The structure in POSCAR format:
```
Dy2SiSb
1.0
-3.321 -2.514 -0.130
-0.642 -2.434 -3.322
2.519 -6.881 1.940
Dy Sb Si
2 1 1
Cartesian
-0.433 -2.859 -0.436 Dy
-1.011 -8.970 -1.076 Dy
-0.722 -5.914 -0.756 Sb
0.000 0.000 0.000 Si
```

Results
Magnetization: 0.00 μB/f.u.
Uncorrected formation energy: -75.6 kJ per mole of atoms
Theoretical density: 7.29 g/cm3

***

# 5
Compound: BaSc2AuSe
Source: Alexandria
Functional: PBE-GGA
Structure: relaxed

The structure in POSCAR format:
```
BaSc2AuSe
1.0
5.618 0.000 0.000
0.000 5.657 0.000
0.000 0.000 5.618
Ba Au Se Sc
1 1 1 2
Cartesian
0.000 0.000 0.000 Ba
2.809 2.828 2.809 Au
0.000 2.828 0.000 Se
0.000 0.000 2.809 Sc
2.809 0.000 0.000 Sc
```

Results
Magnetization: 0.00 μB/f.u.
Uncorrected formation energy: 104.9 kJ per mole of atoms
Theoretical density: 4.68 g/cm3

***

# 6
Compound: Rb3Cd2Hg5
Source: Alexandria
Functional: PBE-GGA
Structure: relaxed

The structure in POSCAR format:
```
Rb3Cd2Hg5
1.0
-1.486 -5.729 4.846
9.020 -3.051 5.195
0.144 3.531 10.255
Hg Rb Cd
10 6 4
Cartesian
1.263 -2.911 6.001 Hg
5.673 -5.203 16.718 Hg
3.760 -4.000 14.535 Hg
1.511 -2.879 9.133 Hg
2.005 -0.047 3.578 Hg
3.919 -1.250 5.761 Hg
6.416 -2.338 14.295 Hg
3.468 -4.057 11.360 Hg
6.168 -2.370 11.163 Hg
4.211 -1.192 8.937 Hg
3.340 -0.425 12.596 Rb
4.338 -4.824 7.701 Rb
-0.371 -1.432 1.211 Rb
1.320 0.829 7.422 Rb
-1.114 -4.297 3.634 Rb
6.358 -6.078 12.874 Rb
6.072 -2.849 4.530 Cd
8.325 -3.967 9.936 Cd
1.606 -2.400 15.766 Cd
-0.647 -1.282 10.360 Cd
```

Results
Formation energy: -0.12 eV/atom
Magnetization: 0.00 μB/f.u.
Theoretical density: 6.52 g/cm3

***

# 7
Compound: Tb2Y5ErTm
Source: Alexandria
Functional: PBE-GGA
Structure: relaxed

The structure in POSCAR format:
```
Tb2Y5ErTm
1.0
8.614 0.000 0.000
0.000 8.614 0.000
-4.307 -4.307 7.774
Tb Tm Y Er
4 2 10 2
Cartesian
1.008 3.299 0.000 Tb
3.299 7.606 0.000 Tb
5.315 1.008 0.000 Tb
7.606 5.315 0.000 Tb
0.000 0.000 3.887 Tm
4.307 4.307 3.887 Tm
6.100 6.821 2.151 Y
0.000 0.000 0.000 Y
2.514 1.793 2.151 Y
-1.793 -2.514 5.624 Y
1.793 2.514 5.624 Y
1.793 6.100 2.151 Y
6.821 2.514 2.151 Y
4.307 4.307 0.000 Y
2.514 -1.793 5.624 Y
-2.514 1.793 5.624 Y
0.000 4.307 3.887 Er
4.307 0.000 3.887 Er
```

Results
Formation energy: 0.29 eV/atom
Magnetization: 0.00 μB/f.u.
Theoretical density: 6.32 g/cm3

***

# 8
Compound: LuCrC
Source: Alexandria
Functional: PBE-GGA
Structure: relaxed

The structure in POSCAR format:
```
LuCrC
1.0
-1.191 -1.542 2.868
2.909 -1.142 -1.502
2.122 2.487 2.219
Cr C Lu
1 1 1
Cartesian
1.237 -0.165 2.521 Cr
2.603 -0.032 1.063 C
0.000 0.000 0.000 Lu
```

Results
Formation energy: 0.13 eV/atom
Magnetization: 0.00 μB/f.u.
Theoretical density: 9.65 g/cm3

***

# 9
Compound: FeTeSe2
Source: Alexandria
Functional: PBE-GGA
Structure: relaxed

The structure in POSCAR format:
```
FeTeSe2
1.0
2.967 0.000 0.000
0.000 2.966 0.000
0.000 0.000 10.690
Se Te Fe
2 1 1
Cartesian
0.000 0.000 9.556 Se
0.000 0.000 6.478 Se
1.483 1.483 2.672 Te
1.483 1.483 8.017 Fe
```

Results
Magnetization: 1.87 μB/f.u.
Uncorrected formation energy: 8.1 kJ per mole of atoms
Theoretical density: 6.03 g/cm3

***

# 10
Compound: MgRe2W
Source: Alexandria
Functional: PBE-GGA
Structure: relaxed

The structure in POSCAR format:
```
MgRe2W
1.0
3.168 0.000 0.000
0.000 3.168 0.000
0.000 0.000 6.321
Mg Re W
1 2 1
Cartesian
1.584 1.584 4.741 Mg
0.000 0.000 3.073 Re
0.000 0.000 0.088 Re
1.584 1.584 1.580 W
```

Results
Formation energy: 0.28 eV/atom
Magnetization: 0.00 μB/f.u.
Theoretical density: 15.20 g/cm3

***

# 11
Compound: ErTm2Tl2Ag2
Source: Alexandria
Functional: PBE-GGA
Structure: relaxed

The structure in POSCAR format:
```
ErTm2Tl2Ag2
1.0
4.879 0.000 0.000
2.440 4.225 0.000
2.440 1.408 8.493
Tl Tm Ag Er
2 2 2 1
Cartesian
7.319 4.225 6.775 Tl
2.440 1.408 1.719 Tl
7.319 4.225 3.382 Tm
2.440 1.408 5.111 Tm
4.879 2.817 2.626 Ag
4.879 2.817 5.867 Ag
0.000 0.000 0.000 Er
```

Results
Formation energy: -0.12 eV/atom
Magnetization: 0.00 μB/f.u.
Theoretical density: 10.71 g/cm3

***

# 12
Compound: MnMoOsRu
Source: Alexandria
Functional: PBE-GGA
Structure: relaxed

The structure in POSCAR format:
```
MnMoOsRu
1.0
4.349 0.000 0.000
2.175 3.767 0.000
2.175 1.256 3.551
Mn Os Ru Mo
1 1 1 1
Cartesian
0.000 0.000 0.000 Mn
2.175 1.256 0.888 Os
6.524 3.767 2.663 Ru
4.349 2.511 1.776 Mo
```

Results
Formation energy: 0.10 eV/atom
Magnetization: 4.27 μB/f.u.
Theoretical density: 12.62 g/cm3

***

# 13
Compound: Pa2BOs
Source: Alexandria
Functional: PBE-GGA
Structure: relaxed

The structure in POSCAR format:
```
Pa2BOs
1.0
3.623 0.000 0.000
0.000 5.700 -0.200
0.000 -3.102 7.266
Pa Os B
4 2 2
Cartesian
0.906 4.487 0.357 Pa
0.906 2.672 4.013 Pa
2.717 -1.889 6.709 Pa
2.717 -0.074 3.053 Pa
2.717 2.786 1.823 Os
0.906 -0.188 5.243 Os
2.717 1.181 5.501 B
0.906 1.417 1.564 B
```

Results
Formation energy: -0.24 eV/atom
Magnetization: 0.00 μB/f.u.
Theoretical density: 14.90 g/cm3

***

# 14
Compound: Th2ScP3Rh12
Source: Alexandria
Functional: PBE-GGA
Structure: relaxed

The structure in POSCAR format:
```
Th2ScP3Rh12
1.0
-5.537 -3.892 0.256
2.657 -5.262 3.334
-2.066 1.649 6.235
Rh P Th Sc
12 3 2 1
Cartesian
-1.394 -4.302 7.979 Rh
-0.118 -2.673 6.174 Rh
-4.649 -1.915 4.472 Rh
-2.909 -1.769 6.957 Rh
-3.553 -3.203 1.846 Rh
-2.037 -5.736 2.868 Rh
-3.077 -6.989 5.078 Rh
-4.828 -4.833 3.651 Rh
-5.368 -3.637 6.486 Rh
0.422 -3.868 3.339 Rh
-0.298 -5.590 5.353 Rh
-1.869 -0.516 4.747 Rh
-1.033 0.824 3.118 P
1.328 -2.631 1.667 P
-2.768 -1.946 0.128 P
-1.858 -2.819 3.690 Th
-3.089 -4.687 6.135 Th
0.000 0.000 0.000 Sc
```

Results
Formation energy: -0.47 eV/atom
Magnetization: 0.00 μB/f.u.
Theoretical density: 10.11 g/cm3

***

# 15
Compound: Cs2InI6F
Source: Alexandria
Functional: PBE-GGA
Structure: relaxed

The structure in POSCAR format:
```
Cs2InI6F
1.0
9.015 0.000 0.000
0.000 9.015 0.000
4.508 4.508 5.441
I Cs F In
6 2 1 1
Cartesian
6.972 6.972 0.000 I
2.043 6.972 0.000 I
6.972 2.043 0.000 I
4.508 4.508 2.300 I
2.043 2.043 0.000 I
9.015 9.015 3.142 I
9.015 4.508 2.721 Cs
4.508 9.015 2.721 Cs
4.508 4.508 0.000 F
0.000 0.000 0.000 In
```

Results
Magnetization: 0.00 μB/f.u.
Uncorrected formation energy: -85.7 kJ per mole of atoms
Theoretical density: 4.36 g/cm3

***

# 16
Compound: CeErIn
Source: Alexandria
Functional: PBE-GGA
Structure: relaxed

The structure in POSCAR format:
```
CeErIn
1.0
-0.445 -3.430 -0.081
2.241 -0.229 -2.625
4.468 1.024 6.003
Ce In Er
1 1 1
Cartesian
3.131 -0.470 2.714 Ce
5.769 -2.560 2.868 In
2.018 -1.997 -0.383 Er
```

Results
Formation energy: -0.21 eV/atom
Magnetization: 0.99 μB/f.u.
Theoretical density: 8.20 g/cm3

***

# 17
Compound: Sr2HAu
Source: Alexandria
Functional: PBE-GGA
Structure: relaxed

The structure in POSCAR format:
```
Sr2HAu
1.0
4.222 0.000 0.000
2.111 3.657 0.000
2.111 1.219 7.037
Sr H Au
2 1 1
Cartesian
6.334 3.657 5.462 Sr
2.111 1.219 1.576 Sr
0.000 0.000 0.000 H
4.222 2.438 3.519 Au
```

Results
Magnetization: 0.00 μB/f.u.
Theoretical density: 5.70 g/cm3

***

# 18
Compound: Al4ZnFe
Source: Alexandria
Functional: PBE-GGA
Structure: relaxed

The structure in POSCAR format:
```
Al4ZnFe
1.0
2.537 1.618 4.148
-1.261 4.454 2.198
-2.319 0.036 4.569
Al Fe Zn
4 1 1
Cartesian
-1.549 2.309 6.377 Al
-0.391 2.291 4.095 Al
0.876 3.100 6.166 Al
-1.021 4.516 5.193 Al
-0.782 4.581 8.186 Fe
0.000 0.000 0.000 Zn
```

Results
Formation energy: 0.26 eV/atom
Magnetization: 1.72 μB/f.u.
Theoretical density: 4.00 g/cm3

***

# 19
Compound: MgAl10O16
Source: Alexandria
Functional: PBE-GGA
Structure: relaxed

The structure in POSCAR format:
```
MgAl10O16
1.0
-7.947 4.212 3.650
-4.814 2.404 8.078
-3.454 7.278 5.415
O Al Mg
16 10 1
Cartesian
-5.906 3.769 3.880 O
-3.671 5.294 4.758 O
-8.236 5.165 7.934 O
-1.991 1.706 2.105 O
-10.302 10.136 13.285 O
-14.311 12.263 15.130 O
-12.566 8.592 12.396 O
-8.524 6.508 10.392 O
-6.088 5.216 6.436 O
-4.348 2.869 6.083 O
-7.895 8.760 9.161 O
-11.881 11.047 11.054 O
-7.640 7.301 6.767 O
-10.101 8.655 10.678 O
-6.267 6.508 8.708 O
-9.971 7.344 8.346 O
-7.987 5.536 6.051 Al
-8.073 6.917 8.535 Al
-5.725 7.080 6.940 Al
-9.829 9.310 8.848 Al
-8.212 8.377 11.134 Al
-3.071 2.632 3.247 Al
-5.023 4.304 5.310 Al
-6.410 4.625 8.281 Al
-11.216 9.611 11.858 Al
-10.531 6.794 10.223 Al
-13.131 11.251 13.882 Mg
```

Results
Magnetization: 0.00 μB/f.u.
Uncorrected formation energy: -287.5 kJ per mole of atoms
Theoretical density: 3.53 g/cm3

***

# 20
Compound: ZrTaMn
Source: Alexandria
Functional: PBE-GGA
Structure: relaxed

The structure in POSCAR format:
```
ZrTaMn
1.0
4.574 0.000 2.568
1.700 4.370 2.329
0.069 -0.091 5.235
Mn Ta Zr
2 2 2
Cartesian
2.287 0.000 1.284 Mn
0.000 0.000 0.000 Mn
2.321 -0.045 3.901 Ta
3.137 2.185 2.449 Ta
1.652 2.713 5.093 Zr
4.690 1.567 5.039 Zr
```

Results
Formation energy: -0.12 eV/atom
Magnetization: 0.00 μB/f.u.
Theoretical density: 10.40 g/cm3

***

# 21
Compound: ZnPCO2
Source: Alexandria
Functional: PBE-GGA
Structure: relaxed

The structure in POSCAR format:
```
ZnPCO2
1.0
-0.798 -2.537 -2.322
2.554 1.159 -2.144
4.194 -3.942 2.865
C O P Zn
1 2 1 1
Cartesian
2.975 -2.660 -0.801 C
1.277 0.580 -1.072 O
-0.399 -1.268 -1.161 O
2.097 -1.971 1.432 P
0.000 0.000 0.000 Zn
```

Results
Magnetization: 1.44 μB/f.u.
Uncorrected formation energy: 133.2 kJ per mole of atoms
Theoretical density: 2.91 g/cm3

***

# 22
Compound: TbSc2Au6
Source: Alexandria
Functional: PBE-GGA
Structure: relaxed

The structure in POSCAR format:
```
TbSc2Au6
1.0
-4.617 -0.464 2.319
-1.250 -4.356 2.394
2.414 0.578 7.798
Sc Au Tb
2 6 1
Cartesian
-2.110 -0.858 2.867 Sc
-1.342 -3.384 9.644 Sc
-2.010 -0.632 8.864 Au
-2.729 -2.958 7.066 Au
-4.068 -2.500 4.392 Au
-0.724 -1.285 5.445 Au
-1.443 -3.610 3.647 Au
0.616 -1.743 8.119 Au
1.207 0.289 3.899 Tb
```

Results
Formation energy: -0.74 eV/atom
Magnetization: 0.00 μB/f.u.
Theoretical density: 13.29 g/cm3

***

# 23
Compound: CaCoSi
Source: Alexandria
Functional: PBE-GGA
Structure: relaxed

The structure in POSCAR format:
```
CaCoSi
1.0
3.896 0.000 -0.348
0.000 3.912 0.000
-3.271 0.000 7.695
Ca Co Si
2 2 2
Cartesian
3.034 2.926 1.069 Ca
-2.390 0.969 6.301 Ca
-0.651 0.969 3.772 Co
1.294 2.925 3.598 Co
-0.547 2.926 4.962 Si
1.191 0.969 2.408 Si
```

Results
Magnetization: 0.00 μB/f.u.
Uncorrected formation energy: -51.5 kJ per mole of atoms
Theoretical density: 3.74 g/cm3

***

# 24
Compound: Li2MgMnH8
Source: Alexandria
Functional: PBE-GGA
Structure: relaxed

The structure in POSCAR format:
```
Li2MgMnH8
1.0
-0.337 -2.961 -3.173
3.794 2.016 0.702
1.475 -4.030 3.605
H Mg Mn Li
8 1 1 2
Cartesian
3.190 -1.000 -0.868 H
3.355 0.451 0.686 H
3.176 -1.718 1.266 H
1.577 -5.426 0.448 H
1.496 -0.537 0.342 H
1.742 -3.975 2.003 H
3.436 -4.438 0.792 H
1.756 -3.258 -0.132 H
0.737 -2.015 1.802 Mg
0.000 0.000 0.000 Mn
3.660 -3.040 2.449 Li
1.272 -1.935 -1.315 Li
```

Results
Magnetization: 2.64 μB/f.u.
Theoretical density: 1.83 g/cm3

***

Number 1: raw total energy -0.275 Ha/atom. Number 2: raw total energy -0.173 Ha/atom. Number 3: raw total energy -0.150 Ha/atom. Number 4: raw total energy -0.201 Ha/atom. Number 5: raw total energy -0.117 Ha/atom. Number 6: raw total energy -0.027 Ha/atom. Number 7: raw total energy -0.196 Ha/atom. Number 8: raw total energy -0.282 Ha/atom. Number 9: raw total energy -0.168 Ha/atom. Number 10: raw total energy -0.352 Ha/atom. Number 11: raw total energy -0.130 Ha/atom. Number 12: raw total energy -0.368 Ha/atom. Number 13: raw total energy -0.348 Ha/atom. Number 14: raw total energy -0.274 Ha/atom. Number 15: raw total energy -0.090 Ha/atom. Number 16: raw total energy -0.170 Ha/atom. Number 17: raw total energy -0.109 Ha/atom. Number 18: raw total energy -0.142 Ha/atom. Number 19: raw total energy -0.271 Ha/atom. Number 20: raw total energy -0.367 Ha/atom. Number 21: raw total energy -0.139 Ha/atom. Number 22: raw total energy -0.178 Ha/atom. Number 23: raw total energy -0.198 Ha/atom. Number 24: raw total energy -0.125 Ha/atom.